(1)
First-principles (PBE-GGA) data for KTlPt after structural relaxation, as listed in Alexandria via LeMat-Bulk.

## Properties
- formation energy from the elements (eV per formula unit) = -0.3
- uncorrected energy (eV per atom) = -3.275
- mass density (Mg/m³) = 7.76

Lattice parameters (Å, degrees): 4.6928 4.6928 4.9201 90.00 90.00 120.00
Space group P-6m2 (No. 187)
One atom of each set of equivalent atoms:
1 K 0.0000 0.0000 0.0000
2 Tl 0.3333 0.6667 0.5000
3 Pt 0.6667 0.3333 0.5000

(2)
First-principles (PBE-GGA) data for K3Tl4Pt3 after structural relaxation, as listed in Alexandria via LeMat-Bulk.

## Properties
- formation energy from the elements (eV per formula unit) = -1.2
- uncorrected energy (eV per atom) = -3.205
- mass density (Mg/m³) = 8.67

Lattice parameters (Å, degrees): 10.521 10.521 10.521 90.00 90.00 90.00
Space group I-43d (No. 220)
One atom of each set of equivalent atoms:
1 K 0.000 0.250 0.375
2 Tl 0.071 0.071 0.071
3 Pt 0.000 0.250 0.875

(3)
First-principles (PBE-GGA) data for KTl2Pt after structural relaxation, as listed in Alexandria via LeMat-Bulk.

## Properties
- formation energy from the elements (eV per formula unit) = 0.4
- uncorrected energy (eV per atom) = -2.860
- mass density (Mg/m³) = 10.12

Lattice parameters (Å, degrees): 4.715 4.715 4.744 90.00 90.00 90.00
Space group P4/mmm (No. 123)
One atom of each set of equivalent atoms:
1 K 0.000 0.000 0.000
2 Tl 0.000 0.500 0.500
3 Pt 0.500 0.500 0.000

(4)
First-principles (PBE-GGA) data for KTlPt3 after structural relaxation, as listed in Alexandria via LeMat-Bulk.

## Properties
- formation energy from the elements (eV per formula unit) = -0.3
- uncorrected energy (eV per atom) = -4.379
- mass density (Mg/m³) = 12.58

Lattice parameters (Å, degrees): 5.5530 5.5530 24.5705 90.00 90.00 120.00
Space group R-3m (No. 166, hexagonal axes)
One atom of each set of equivalent atoms:
1 K 0.0000 0.0000 0.1620
2 Tl 0.0000 0.0000 0.4128
3 Pt 0.0081 0.5040 0.3785